VASP calculation (SCAN) on a PBEsol-optimized structure of TaCd2Pb.

Geometry as POSCAR:
```
TaCd2Pb
1.0
-2.4536 -1.6217 0.6026
1.9929 -1.8626 1.2539
-0.9912 4.6539 8.4888
Cd Pb Ta
2 1 1
direct
0.0000 0.0000 0.0136 Cd
0.5000 0.5000 0.7789 Cd
0.0000 0.0000 0.4749 Pb
0.5000 0.5000 0.2325 Ta
```

Values from the calculation:
Space-group type: No. 35
Energy of formation, eV per atom: 0.3123
Fermi-level density of states, states/eV per cell: 2.2
Uncorrected energy, eV/atom: -50.4860